The following is a meta-GGA SCAN calculation of a PBEsol-optimized structure of Y2ZrTe, from the Alexandria database.

Values from the calculation:
As for the uncorrected energy: -2.312 Ry per atom. The value obtained for the uncorrected formation energy is -0.54 eV per atom. The space-group type is P4/mmm.

Cell and atoms, written as CIF:
```
data_Y2ZrTe
_chemical_formula_sum 'Y2 Zr1 Te1'
_symmetry_space_group_name_H-M 'P 1'
_symmetry_Int_Tables_number 1
_cell_length_a 3.7974
_cell_length_b 3.7974
_cell_length_c 7.1521
_cell_angle_alpha 90.00
_cell_angle_beta 90.00
_cell_angle_gamma 90.00
loop_
_symmetry_equiv_pos_as_xyz
'x,y,z'
loop_
_atom_site_label
_atom_site_type_symbol
_atom_site_fract_x
_atom_site_fract_y
_atom_site_fract_z
Y1 Y 0.0000 0.0000 0.2379
Y2 Y 0.0000 0.0000 0.7621
Zr1 Zr 0.5000 0.5000 0.5000
Te1 Te 0.5000 0.5000 0.0000
```

=====

The following is a meta-GGA SCAN calculation of a PBEsol-optimized structure of AlPtN2F, from the Alexandria database.

Values from the calculation:
As for the uncorrected energy: -1.425 Ry per atom. The value obtained for the uncorrected formation energy is 0.63 eV per atom. The space-group type is P4/mmm.

Cell and atoms, written as CIF:
```
data_AlPtN2F
_chemical_formula_sum 'Al1 Pt1 N2 F1'
_symmetry_space_group_name_H-M 'P 1'
_symmetry_Int_Tables_number 1
_cell_length_a 3.6823
_cell_length_b 3.6823
_cell_length_c 5.9116
_cell_angle_alpha 90.00
_cell_angle_beta 90.00
_cell_angle_gamma 90.00
loop_
_symmetry_equiv_pos_as_xyz
'x,y,z'
loop_
_atom_site_label
_atom_site_type_symbol
_atom_site_fract_x
_atom_site_fract_y
_atom_site_fract_z
Al1 Al 0.0000 0.0000 0.0000
Pt1 Pt 0.5000 0.5000 0.5000
N1 N 0.0000 0.5000 0.5000
N2 N 0.5000 0.0000 0.5000
F1 F 0.5000 0.5000 0.0000
```

=====

The following is a meta-GGA SCAN calculation of a PBEsol-optimized structure of BeRu2Pt, from the Alexandria database.

Values from the calculation:
As for the uncorrected energy: -2.660 Ry per atom. The energy of formation comes out at -0.15 eV per atom. The space-group type is P4/mmm.

Cell and atoms, written as CIF:
```
data_BeRu2Pt
_chemical_formula_sum 'Be1 Ru2 Pt1'
_symmetry_space_group_name_H-M 'P 1'
_symmetry_Int_Tables_number 1
_cell_length_a 2.7377
_cell_length_b 2.7377
_cell_length_c 6.5334
_cell_angle_alpha 90.00
_cell_angle_beta 90.00
_cell_angle_gamma 90.00
loop_
_symmetry_equiv_pos_as_xyz
'x,y,z'
loop_
_atom_site_label
_atom_site_type_symbol
_atom_site_fract_x
_atom_site_fract_y
_atom_site_fract_z
Be1 Be 0.0000 0.0000 0.0000
Ru1 Ru 0.5000 0.5000 0.2079
Ru2 Ru 0.5000 0.5000 0.7921
Pt1 Pt 0.0000 0.0000 0.5000
```

=====

The following is a meta-GGA SCAN calculation of a PBEsol-optimized structure of La2RhBr, from the Alexandria database.

Values from the calculation:
As for the uncorrected energy: -2.662 Ry per atom. The value obtained for the uncorrected formation energy is -1.36 eV per atom. The space-group type is R-3m.

Cell and atoms, written as CIF:
```
data_La2RhBr
_chemical_formula_sum 'La2 Rh1 Br1'
_symmetry_space_group_name_H-M 'P 1'
_symmetry_Int_Tables_number 1
_cell_length_a 8.1449
_cell_length_b 8.1449
_cell_length_c 8.1449
_cell_angle_alpha 29.13
_cell_angle_beta 29.13
_cell_angle_gamma 29.13
loop_
_symmetry_equiv_pos_as_xyz
'x,y,z'
loop_
_atom_site_label
_atom_site_type_symbol
_atom_site_fract_x
_atom_site_fract_y
_atom_site_fract_z
La1 La 0.2332 0.2332 0.2332
La2 La 0.7668 0.7668 0.7668
Rh1 Rh 0.5000 0.5000 0.5000
Br1 Br 0.0000 0.0000 0.0000
```

=====

The following is a meta-GGA SCAN calculation of a PBEsol-optimized structure of TlIn5, from the Alexandria database.

Values from the calculation:
As for the uncorrected energy: -2.926 Ry per atom. The calculation puts the distance to the lowest polymorph of the same formula at 0.0160 eV per atom. The energy of formation comes out at 0.08 eV per atom. The space-group type is Cm.

Cell and atoms, written as CIF:
```
data_TlIn5
_chemical_formula_sum 'Tl1 In5'
_symmetry_space_group_name_H-M 'P 1'
_symmetry_Int_Tables_number 1
_cell_length_a 6.5665
_cell_length_b 6.5665
_cell_length_c 7.5641
_cell_angle_alpha 104.49
_cell_angle_beta 104.49
_cell_angle_gamma 29.61
loop_
_symmetry_equiv_pos_as_xyz
'x,y,z'
loop_
_atom_site_label
_atom_site_type_symbol
_atom_site_fract_x
_atom_site_fract_y
_atom_site_fract_z
Tl1 Tl 0.0000 0.0000 0.0000
In1 In 0.2834 0.2834 0.0736
In2 In 0.3341 0.3341 0.6655
In3 In 0.6232 0.6232 0.7345
In4 In 0.6682 0.6682 0.3393
In5 In 0.9524 0.9524 0.4068
```

=====

The following is a meta-GGA SCAN calculation of a PBEsol-optimized structure of TlB2Os, from the Alexandria database.

Values from the calculation:
As for the uncorrected energy: -2.872 Ry per atom. The energy of formation comes out at 0.70 eV per atom. The space-group type is Fd-3m.

Cell and atoms, written as CIF:
```
data_TlB2Os
_chemical_formula_sum 'Tl2 B4 Os2'
_symmetry_space_group_name_H-M 'P 1'
_symmetry_Int_Tables_number 1
_cell_length_a 6.3155
_cell_length_b 6.3155
_cell_length_c 6.3155
_cell_angle_alpha 60.00
_cell_angle_beta 60.00
_cell_angle_gamma 60.00
loop_
_symmetry_equiv_pos_as_xyz
'x,y,z'
loop_
_atom_site_label
_atom_site_type_symbol
_atom_site_fract_x
_atom_site_fract_y
_atom_site_fract_z
Tl1 Tl 0.1250 0.1250 0.1250
Tl2 Tl 0.8750 0.8750 0.8750
B1 B 0.0000 0.5000 0.5000
B2 B 0.5000 0.0000 0.5000
B3 B 0.5000 0.5000 0.0000
B4 B 0.5000 0.5000 0.5000
Os1 Os 0.3750 0.3750 0.3750
Os2 Os 0.6250 0.6250 0.6250
```

=====

The following is a meta-GGA SCAN calculation of a PBEsol-optimized structure of CaCoRe2, from the Alexandria database.

Values from the calculation:
As for the uncorrected energy: -3.054 Ry per atom. The calculation puts the distance to the lowest polymorph of the same formula at 0.1734 eV per atom. The energy of formation comes out at 0.74 eV per atom. The space-group type is Cmmm.

Cell and atoms, written as CIF:
```
data_CaCoRe2
_chemical_formula_sum 'Ca1 Co1 Re2'
_symmetry_space_group_name_H-M 'P 1'
_symmetry_Int_Tables_number 1
_cell_length_a 5.2834
_cell_length_b 5.2834
_cell_length_c 2.5878
_cell_angle_alpha 90.00
_cell_angle_beta 90.00
_cell_angle_gamma 121.12
loop_
_symmetry_equiv_pos_as_xyz
'x,y,z'
loop_
_atom_site_label
_atom_site_type_symbol
_atom_site_fract_x
_atom_site_fract_y
_atom_site_fract_z
Ca1 Ca 0.0000 0.0000 0.0000
Co1 Co 0.5000 0.5000 0.0000
Re1 Re 0.0000 0.5000 0.5000
Re2 Re 0.5000 0.0000 0.5000
```

=====

The following is a meta-GGA SCAN calculation of a PBEsol-optimized structure of LiNdGe2, from the Alexandria database.

Values from the calculation:
As for the uncorrected energy: -1.600 Ry per atom. The energy of formation comes out at -0.73 eV per atom. The space-group type is Pnma.

Cell and atoms, written as CIF:
```
data_LiNdGe2
_chemical_formula_sum 'Li4 Nd4 Ge8'
_symmetry_space_group_name_H-M 'P 1'
_symmetry_Int_Tables_number 1
_cell_length_a 7.7036
_cell_length_b 3.9248
_cell_length_c 10.5601
_cell_angle_alpha 90.00
_cell_angle_beta 90.00
_cell_angle_gamma 90.00
loop_
_symmetry_equiv_pos_as_xyz
'x,y,z'
loop_
_atom_site_label
_atom_site_type_symbol
_atom_site_fract_x
_atom_site_fract_y
_atom_site_fract_z
Li1 Li 0.0111 0.2500 0.1090
Li2 Li 0.4889 0.7500 0.6090
Li3 Li 0.5111 0.2500 0.3910
Li4 Li 0.9889 0.7500 0.8910
Nd1 Nd 0.1404 0.7500 0.3653
Nd2 Nd 0.3596 0.2500 0.8653
Nd3 Nd 0.6404 0.7500 0.1347
Nd4 Nd 0.8596 0.2500 0.6347
Ge1 Ge 0.1548 0.7500 0.6846
Ge2 Ge 0.2246 0.7500 0.0660
Ge3 Ge 0.2754 0.2500 0.5660
Ge4 Ge 0.3452 0.2500 0.1846
Ge5 Ge 0.6548 0.7500 0.8154
Ge6 Ge 0.7246 0.7500 0.4340
Ge7 Ge 0.7754 0.2500 0.9340
Ge8 Ge 0.8452 0.2500 0.3154
```

=====

The following is a meta-GGA SCAN calculation of a PBEsol-optimized structure of Ge3BiMo, from the Alexandria database.

Values from the calculation:
As for the uncorrected energy: -2.468 Ry per atom. The energy of formation comes out at 0.56 eV per atom. The space-group type is Pm-3m.

Cell and atoms, written as CIF:
```
data_Ge3BiMo
_chemical_formula_sum 'Ge3 Bi1 Mo1'
_symmetry_space_group_name_H-M 'P 1'
_symmetry_Int_Tables_number 1
_cell_length_a 4.8927
_cell_length_b 4.8927
_cell_length_c 4.8927
_cell_angle_alpha 90.00
_cell_angle_beta 90.00
_cell_angle_gamma 90.00
loop_
_symmetry_equiv_pos_as_xyz
'x,y,z'
loop_
_atom_site_label
_atom_site_type_symbol
_atom_site_fract_x
_atom_site_fract_y
_atom_site_fract_z
Ge1 Ge 0.0000 0.0000 0.5000
Ge2 Ge 0.0000 0.5000 0.0000
Ge3 Ge 0.5000 0.0000 0.0000
Bi1 Bi 0.5000 0.5000 0.5000
Mo1 Mo 0.0000 0.0000 0.0000
```

=====

The following is a meta-GGA SCAN calculation of a PBEsol-optimized structure of ZrRe2Rh, from the Alexandria database.

Values from the calculation:
As for the uncorrected energy: -3.804 Ry per atom. The calculation puts the distance to the lowest polymorph of the same formula at 0.1034 eV per atom. The energy of formation comes out at -0.09 eV per atom. The space-group type is Immm.

Cell and atoms, written as CIF:
```
data_ZrRe2Rh
_chemical_formula_sum 'Zr1 Re2 Rh1'
_symmetry_space_group_name_H-M 'P 1'
_symmetry_Int_Tables_number 1
_cell_length_a 5.1988
_cell_length_b 5.1988
_cell_length_c 5.1988
_cell_angle_alpha 142.39
_cell_angle_beta 132.01
_cell_angle_gamma 62.52
loop_
_symmetry_equiv_pos_as_xyz
'x,y,z'
loop_
_atom_site_label
_atom_site_type_symbol
_atom_site_fract_x
_atom_site_fract_y
_atom_site_fract_z
Zr1 Zr 0.0000 0.0000 0.0000
Re1 Re 0.2440 0.7440 0.5000
Re2 Re 0.7560 0.2560 0.5000
Rh1 Rh 0.5000 0.5000 0.0000
```

=====

The following is a meta-GGA SCAN calculation of a PBEsol-optimized structure of Li2FeNi, from the Alexandria database.

Values from the calculation:
As for the uncorrected energy: -0.709 Ry per atom. The energy of formation comes out at 0.12 eV per atom. The space-group type is C2/m.

Cell and atoms, written as CIF:
```
data_Li2FeNi
_chemical_formula_sum 'Li2 Fe1 Ni1'
_symmetry_space_group_name_H-M 'P 1'
_symmetry_Int_Tables_number 1
_cell_length_a 4.9660
_cell_length_b 4.9660
_cell_length_c 2.4230
_cell_angle_alpha 102.55
_cell_angle_beta 102.55
_cell_angle_gamma 122.04
loop_
_symmetry_equiv_pos_as_xyz
'x,y,z'
loop_
_atom_site_label
_atom_site_type_symbol
_atom_site_fract_x
_atom_site_fract_y
_atom_site_fract_z
Li1 Li 0.0000 0.5000 0.0000
Li2 Li 0.5000 0.0000 0.0000
Fe1 Fe 0.0000 0.0000 0.5000
Ni1 Ni 0.5000 0.5000 0.5000
```

=====

The following is a meta-GGA SCAN calculation of a PBEsol-optimized structure of FeHgPb2C, from the Alexandria database.

Values from the calculation:
As for the uncorrected energy: -3.539 Ry per atom. The energy of formation comes out at 1.44 eV per atom. The space-group type is P4/mmm.

Cell and atoms, written as CIF:
```
data_FeHgPb2C
_chemical_formula_sum 'Fe1 Hg1 Pb2 C1'
_symmetry_space_group_name_H-M 'P 1'
_symmetry_Int_Tables_number 1
_cell_length_a 4.9497
_cell_length_b 4.9497
_cell_length_c 4.9377
_cell_angle_alpha 90.00
_cell_angle_beta 90.00
_cell_angle_gamma 90.00
loop_
_symmetry_equiv_pos_as_xyz
'x,y,z'
loop_
_atom_site_label
_atom_site_type_symbol
_atom_site_fract_x
_atom_site_fract_y
_atom_site_fract_z
Fe1 Fe 0.0000 0.0000 0.0000
Hg1 Hg 0.0000 0.0000 0.5000
Pb1 Pb 0.0000 0.5000 0.0000
Pb2 Pb 0.5000 0.0000 0.0000
C1 C 0.5000 0.5000 0.5000
```